An optimized crystal structure of NaGeO2, computed with GGA-PBE.

Geometry as extended XYZ:
```
16
Lattice="5.310 0.000 0.000 0.000 7.440 0.000 0.000 0.000 5.855" Properties=species:S:1:pos:R:3 pbc="T T T"
Na 5.309 0.946 0.000
Na 0.001 6.494 2.927
Na 2.654 2.774 0.000
Na 2.656 4.666 2.927
Ge 0.023 2.759 2.910
Ge 2.632 6.479 5.838
Ge 2.677 0.961 2.910
Ge 5.287 4.681 5.838
O 0.470 3.175 0.940
O 0.920 6.231 0.717
O 1.735 2.511 3.645
O 2.184 6.895 3.868
O 3.125 0.545 0.940
O 3.574 4.929 0.717
O 4.390 1.209 3.645
O 4.839 4.265 3.868
```

Output
Uncorrected formation energy (eV/atom): -1.41
Crystal system: orthorhombic
Calculated total energy (eV per atom): -5.38
Space-group type: Pna2_1

***

An optimized crystal structure of Na3Ge2O4, computed with GGA-PBE.

Geometry as extended XYZ:
```
9
Lattice="5.376 -2.066 0.000 5.376 2.066 0.000 -3.222 0.000 6.500" Properties=species:S:1:pos:R:3 pbc="T T T"
Na 0.000 0.000 0.000
Na 2.791 0.000 1.254
Na 4.739 0.000 5.246
Ge 1.686 0.000 4.240
Ge 5.844 0.000 2.259
O 0.737 0.000 2.594
O 0.617 0.000 5.694
O 6.913 0.000 0.806
O 6.793 0.000 3.906
```

Output
Uncorrected formation energy (eV/atom): -1.32
Crystal system: monoclinic
Calculated total energy (eV per atom): -4.99
Space-group type: C2/m

***

An optimized crystal structure of NaGeO2, computed with GGA-PBE.

Geometry as extended XYZ:
```
4
Lattice="1.682 0.971 6.009 -1.682 0.971 6.009 0.000 -1.943 6.009" Properties=species:S:1:pos:R:3 pbc="T T T"
Na 0.000 0.000 0.000
Ge 0.000 0.000 9.013
O 0.000 0.000 7.320
O 0.000 0.000 10.706
```

Output
Uncorrected formation energy (eV/atom): -1.02
Crystal system: trigonal
Calculated total energy (eV per atom): -4.99
Space-group type: R-3m

***

An optimized crystal structure of Na2GeO, computed with GGA-PBE.

Geometry as extended XYZ:
```
4
Lattice="0.000 3.308 3.308 3.308 0.000 3.308 3.308 3.308 0.000" Properties=species:S:1:pos:R:3 pbc="T T T"
Na 1.654 1.654 1.654
Na 4.962 4.962 4.962
Ge 0.000 0.000 0.000
O 3.308 3.308 3.308
```

Output
Uncorrected formation energy (eV/atom): 0.06
Crystal system: cubic
Relative energy among the computed polymorphs (meV per atom): 542
Calculated total energy (eV per atom): -2.99
Space-group type: Fm-3m